Material: ReAu2Se
Method: DFT, PBEsol
State: optimized geometry

Total DFT energy (no corrections)   -5.7689 eV/atom
Formation energy without anion corrections   1.955 eV per formula unit
N(E_F)   3.21 states/eV/cell
Total moment   0.000 μB/f.u.
Volume   68 Å³ per cell

Cell lengths 9.9261, 9.9261, 9.9261 Å; angles 16.37, 16.37, 16.37 degrees
Atoms (fractional coordinates):
Re 0.0000 0.0000 0.0000
Au 0.2561 0.2561 0.2561
Au 0.7439 0.7439 0.7439
Se 0.5000 0.5000 0.5000

---

Material: Ta2InS
Method: DFT, PBEsol
State: optimized geometry

Total DFT energy (no corrections)   -7.8862 eV/atom
Formation energy without anion corrections   0.924 eV per formula unit
N(E_F)   4.70 states/eV/cell
Total moment   0.000 μB/f.u.
Volume   68 Å³ per cell

Cell lengths 4.5722, 4.5722, 4.5722 Å; angles 60.00, 60.00, 60.00 degrees
Atoms (fractional coordinates):
Ta 0.2500 0.2500 0.2500
Ta 0.7500 0.7500 0.7500
In 0.0000 0.0000 0.0000
S 0.5000 0.5000 0.5000

---

Material: SiTe
Method: DFT, PBEsol
State: optimized geometry

Total DFT energy (no corrections)   -4.6321 eV/atom
Formation energy without anion corrections   0.009 eV per formula unit
N(E_F)   0.85 states/eV/cell
Total moment   0.000 μB/f.u.
Volume   300 Å³ per cell

Cell lengths 3.8395, 3.8395, 23.5136 Å; angles 90.00, 90.00, 120.00 degrees
Atoms (fractional coordinates):
Si 0.0000 0.0000 0.1979
Si 0.0000 0.0000 0.8021
Si 0.3333 0.6667 0.1355
Si 0.3333 0.6667 0.4689
Si 0.6667 0.3333 0.5311
Si 0.6667 0.3333 0.8645
Te 0.0000 0.0000 0.4055
Te 0.0000 0.0000 0.5945
Te 0.3333 0.6667 0.7387
Te 0.3333 0.6667 0.9280
Te 0.6667 0.3333 0.0720
Te 0.6667 0.3333 0.2613

---

Material: K2S5
Method: DFT, PBEsol
State: optimized geometry

Total DFT energy (no corrections)   -4.0177 eV/atom
Formation energy without anion corrections   -3.936 eV per formula unit
Total moment   0.000 μB/f.u.
Volume   755 Å³ per cell

Cell lengths 6.6168, 8.9484, 12.7561 Å; angles 90.00, 90.00, 90.00 degrees
Atoms (fractional coordinates):
K 0.0821 0.0839 0.1408
K 0.0962 0.7987 0.8846
K 0.4038 0.2013 0.3846
K 0.4179 0.9161 0.6408
K 0.5821 0.4161 0.8592
K 0.5962 0.7013 0.1154
K 0.9038 0.2987 0.6154
K 0.9179 0.5839 0.3592
S 0.0940 0.5073 0.0550
S 0.0963 0.7026 0.1313
S 0.1230 0.4881 0.7805
S 0.1420 0.6138 0.6515
S 0.1652 0.8981 0.4123
S 0.3348 0.1019 0.9123
S 0.3580 0.3862 0.1515
S 0.3770 0.5119 0.2805
S 0.4037 0.2974 0.6313
S 0.4060 0.4927 0.5550
S 0.5940 0.9927 0.9450
S 0.5963 0.7974 0.8687
S 0.6230 0.0119 0.2195
S 0.6420 0.8862 0.3485
S 0.6652 0.6019 0.5877
S 0.8348 0.3981 0.0877
S 0.8580 0.1138 0.8485
S 0.8770 0.9881 0.7195
S 0.9037 0.2026 0.3687
S 0.9060 0.0073 0.4450

---

Material: ZrPt3Br
Method: DFT, PBEsol
State: optimized geometry

Total DFT energy (no corrections)   -5.3310 eV/atom
Formation energy without anion corrections   5.195 eV per formula unit
N(E_F)   3.80 states/eV/cell
Total moment   0.000 μB/f.u.
Volume   120 Å³ per cell

Cell lengths 4.9298, 4.9298, 4.9298 Å; angles 90.00, 90.00, 90.00 degrees
Atoms (fractional coordinates):
Zr 0.0000 0.0000 0.0000
Pt 0.0000 0.0000 0.5000
Pt 0.0000 0.5000 0.0000
Pt 0.5000 0.0000 0.0000
Br 0.5000 0.5000 0.5000

---

Material: Tl3HgPt
Method: DFT, PBEsol
State: optimized geometry

Total DFT energy (no corrections)   -3.0521 eV/atom
Calculated formation energy   0.03 eV/atom
N(E_F)   2.27 states/eV/cell
Total moment   0.000 μB/f.u.
Volume   145 Å³ per cell

Cell lengths 5.2555, 5.2555, 5.2555 Å; angles 90.00, 90.00, 90.00 degrees
Atoms (fractional coordinates):
Tl 0.0000 0.0000 0.5000
Tl 0.0000 0.5000 0.0000
Tl 0.5000 0.0000 0.0000
Hg 0.5000 0.5000 0.5000
Pt 0.0000 0.0000 0.0000